Record 1
Crystalline NbRhN2F at its relaxed geometry. Source: the Alexandria database, functional GGA-PBE.

Cell lengths 3.9324, 3.9324, 3.8847 Å; angles 90.00, 90.00, 90.00 degrees
Last column: nearest neighbours and their distance in Å.
Atoms (fractional coordinates):
Rh  0.0000  0.0000  0.0000  2 F 1.94, 4 N 1.97
N  0.0000  0.5000  0.0000  2 Rh 1.97
N  0.5000  0.0000  0.0000  2 Rh 1.97
F  0.0000  0.0000  0.5000  2 Rh 1.94
Nb  0.5000  0.5000  0.5000  8 N 2.76, 4 F 2.78

ΔE_f (raw) = 0.66 eV/atom
N(E_F) = 0.74 states/eV per atom
Uncorrected energy = -6.528 eV/atom
Total magnetic moment = 0.000 μB per atom
Polymorph energy (0 for the lowest one) = 585.6 meV/atom
Symmetry = No. 123

Record 2
Crystalline NbRhN2F at its relaxed geometry. Source: the Alexandria database, functional GGA-PBE.

Cell lengths 4.0977, 4.0977, 3.9942 Å; angles 90.00, 90.00, 90.00 degrees
Last column: nearest neighbours and their distance in Å.
Atoms (fractional coordinates):
N  0.5000  0.0000  0.0000  2 Nb 2.05
N  0.0000  0.5000  0.0000  2 Nb 2.05
Nb  0.0000  0.0000  0.0000  2 F 2.00, 4 N 2.05
F  0.0000  0.0000  0.5000  2 Nb 2.00
Rh  0.5000  0.5000  0.5000  8 N 2.86, 4 F 2.90

ΔE_f (raw) = 0.08 eV/atom
N(E_F) = 0.92 states/eV per atom
Uncorrected energy = -7.113 eV/atom
Total magnetic moment = 0.312 μB per atom
Polymorph energy (0 for the lowest one) = 0.0 meV/atom
Symmetry = No. 123

Record 3
Crystalline NbRhNF2 at its relaxed geometry. Source: the Alexandria database, functional GGA-PBE.

Cell lengths 4.1330, 4.1330, 4.0635 Å; angles 90.00, 90.00, 90.00 degrees
Last column: nearest neighbours and their distance in Å.
Atoms (fractional coordinates):
F  0.0000  0.5000  0.0000  2 Nb 2.07
N  0.0000  0.0000  0.5000  2 Nb 2.03
F  0.5000  0.0000  0.0000  2 Nb 2.07
Rh  0.5000  0.5000  0.5000  8 F 2.90, 4 N 2.92
Nb  0.0000  0.0000  0.0000  2 N 2.03, 4 F 2.07

ΔE_f (raw) = -0.65 eV/atom
N(E_F) = 0.75 states/eV per atom
Uncorrected energy = -6.547 eV/atom
Total magnetic moment = 0.230 μB per atom
Polymorph energy (0 for the lowest one) = 0.0 meV/atom
Symmetry = No. 123

Record 4
Crystalline NbRhNF2 at its relaxed geometry. Source: the Alexandria database, functional GGA-PBE.

Cell lengths 4.3747, 4.3747, 3.7196 Å; angles 90.00, 90.00, 90.00 degrees
Last column: nearest neighbours and their distance in Å.
Atoms (fractional coordinates):
F  0.5000  0.0000  0.0000  2 Rh 2.19
F  0.0000  0.5000  0.0000  2 Rh 2.19
N  0.0000  0.0000  0.5000  2 Rh 1.86
Nb  0.5000  0.5000  0.5000  8 F 2.87, 4 N 3.09
Rh  0.0000  0.0000  0.0000  2 N 1.86

ΔE_f (raw) = 0.10 eV/atom
N(E_F) = 1.04 states/eV per atom
Uncorrected energy = -5.795 eV/atom
Total magnetic moment = 0.670 μB per atom
Polymorph energy (0 for the lowest one) = 751.8 meV/atom
Symmetry = No. 123

Record 5
Crystalline NbRhN2F at its relaxed geometry. Source: the Alexandria database, functional GGA-PBE.

Cell lengths 4.0448, 3.8075, 4.0448 Å; angles 90.00, 90.00, 90.00 degrees
Last column: nearest neighbours and their distance in Å.
Atoms (fractional coordinates):
F  0.0000  0.0000  0.0000  2 Nb 1.90, 4 N 2.02
Nb  0.0000  0.5000  0.0000  2 F 1.90
N  0.0000  0.0000  0.5000  2 F 2.02
Rh  0.5000  0.5000  0.5000  8 N 2.78, 4 Nb 2.86
N  0.5000  0.0000  0.0000  2 F 2.02

ΔE_f (raw) = 1.59 eV/atom
N(E_F) = 0.85 states/eV per atom
Uncorrected energy = -5.600 eV/atom
Total magnetic moment = 0.000 μB per atom
Polymorph energy (0 for the lowest one) = 1513.0 meV/atom
Symmetry = No. 123

Record 6
Crystalline NbSN2F at its relaxed geometry. Source: the Alexandria database, functional GGA-PBE.

Cell lengths 4.0255, 4.0255, 5.0045 Å; angles 90.00, 90.00, 90.00 degrees
Last column: nearest neighbours and their distance in Å.
Atoms (fractional coordinates):
S  0.0000  0.0000  0.5000  2 Nb 2.50
N  0.5000  0.0000  0.0000  2 Nb 2.01
Nb  0.0000  0.0000  0.0000  4 N 2.01
N  0.0000  0.5000  0.0000  2 Nb 2.01
F  0.5000  0.5000  0.5000  4 S 2.85

ΔE_f (raw) = 0.46 eV/atom
N(E_F) = 0.64 states/eV per atom
Uncorrected energy = -6.083 eV/atom
Total magnetic moment = 0.506 μB per atom
Polymorph energy (0 for the lowest one) = 306.7 meV/atom
Symmetry = No. 123

Record 7
Crystalline NbSN2F at its relaxed geometry. Source: the Alexandria database, functional GGA-PBE.

Cell lengths 4.1237, 4.1237, 4.0374 Å; angles 90.00, 90.00, 90.00 degrees
Last column: nearest neighbours and their distance in Å.
Atoms (fractional coordinates):
N  0.0000  0.5000  0.0000  2 Nb 2.06
F  0.0000  0.0000  0.5000  2 Nb 2.02
N  0.5000  0.0000  0.0000  2 Nb 2.06
Nb  0.0000  0.0000  0.0000  2 F 2.02, 4 N 2.06
S  0.5000  0.5000  0.5000  8 N 2.89, 4 F 2.92

ΔE_f (raw) = 0.15 eV/atom
N(E_F) = 0.53 states/eV per atom
Uncorrected energy = -6.390 eV/atom
Total magnetic moment = 0.000 μB per atom
Polymorph energy (0 for the lowest one) = 0.0 meV/atom
Symmetry = No. 123

Record 8
Crystalline NbSN2F at its relaxed geometry. Source: the Alexandria database, functional GGA-PBE.

Cell lengths 3.9175, 3.9175, 3.7277 Å; angles 90.00, 90.00, 90.00 degrees
Last column: nearest neighbours and their distance in Å.
Atoms (fractional coordinates):
Nb  0.5000  0.5000  0.5000  8 N 2.70, 4 S 2.77
F  0.0000  0.0000  0.0000  2 S 1.86, 4 N 1.96
S  0.0000  0.0000  0.5000  2 F 1.86
N  0.5000  0.0000  0.0000  2 F 1.96
N  0.0000  0.5000  0.0000  2 F 1.96

ΔE_f (raw) = 1.55 eV/atom
N(E_F) = 0.47 states/eV per atom
Uncorrected energy = -4.990 eV/atom
Total magnetic moment = 0.039 μB per atom
Polymorph energy (0 for the lowest one) = 1399.5 meV/atom
Symmetry = No. 123

Record 9
Crystalline NbSN2F at its relaxed geometry. Source: the Alexandria database, functional GGA-PBE.

Cell lengths 3.8367, 3.8367, 3.7555 Å; angles 90.00, 90.00, 90.00 degrees
Last column: nearest neighbours and their distance in Å.
Atoms (fractional coordinates):
S  0.0000  0.0000  0.0000  2 F 1.88, 4 N 1.92
N  0.5000  0.0000  0.0000  2 S 1.92
Nb  0.5000  0.5000  0.5000  8 N 2.68, 4 F 2.71
F  0.0000  0.0000  0.5000  2 S 1.88
N  0.0000  0.5000  0.0000  2 S 1.92

ΔE_f (raw) = 0.99 eV/atom
N(E_F) = 0.66 states/eV per atom
Uncorrected energy = -5.559 eV/atom
Total magnetic moment = 0.366 μB per atom
Polymorph energy (0 for the lowest one) = 831.0 meV/atom
Symmetry = No. 123

Record 10
Crystalline NbSbNF2 at its relaxed geometry. Source: the Alexandria database, functional GGA-PBE.

Cell lengths 4.3350, 4.3350, 4.4540 Å; angles 90.00, 90.00, 90.00 degrees
Last column: nearest neighbours and their distance in Å.
Atoms (fractional coordinates):
Sb  0.0000  0.0000  0.0000  4 F 2.17, 2 N 2.23
F  0.0000  0.5000  0.0000  2 Sb 2.17
F  0.5000  0.0000  0.0000  2 Sb 2.17
Nb  0.5000  0.5000  0.5000  4 N 3.07, 8 F 3.11
N  0.0000  0.0000  0.5000  2 Sb 2.23

ΔE_f (raw) = 0.04 eV/atom
N(E_F) = 0.98 states/eV per atom
Uncorrected energy = -5.215 eV/atom
Total magnetic moment = 0.679 μB per atom
Polymorph energy (0 for the lowest one) = 923.1 meV/atom
Symmetry = No. 123

Record 11
Crystalline NbSbNF2 at its relaxed geometry. Source: the Alexandria database, functional GGA-PBE.

Cell lengths 4.2750, 4.2750, 4.1167 Å; angles 90.00, 90.00, 90.00 degrees
Last column: nearest neighbours and their distance in Å.
Atoms (fractional coordinates):
Nb  0.0000  0.0000  0.0000  2 N 2.06, 4 F 2.14
N  0.0000  0.0000  0.5000  2 Nb 2.06
F  0.0000  0.5000  0.0000  2 Nb 2.14
F  0.5000  0.0000  0.0000  2 Nb 2.14
Sb  0.5000  0.5000  0.5000  8 F 2.97, 4 N 3.02

ΔE_f (raw) = -0.89 eV/atom
N(E_F) = 0.81 states/eV per atom
Uncorrected energy = -6.138 eV/atom
Total magnetic moment = 0.000 μB per atom
Polymorph energy (0 for the lowest one) = 0.0 meV/atom
Symmetry = No. 123

Record 12
Crystalline NbSeNF2 at its relaxed geometry. Source: the Alexandria database, functional GGA-PBE.

Cell lengths 4.4842, 4.4842, 3.8155 Å; angles 90.00, 90.00, 90.00 degrees
Last column: nearest neighbours and their distance in Å.
Atoms (fractional coordinates):
F  0.5000  0.0000  0.0000  2 Se 2.24
N  0.0000  0.0000  0.5000  2 Se 1.91
Nb  0.5000  0.5000  0.5000  8 F 2.94, 4 N 3.17
Se  0.0000  0.0000  0.0000  2 N 1.91
F  0.0000  0.5000  0.0000  2 Se 2.24

ΔE_f (raw) = 0.45 eV/atom
N(E_F) = 1.64 states/eV per atom
Uncorrected energy = -4.673 eV/atom
Total magnetic moment = 0.641 μB per atom
Polymorph energy (0 for the lowest one) = 1302.1 meV/atom
Symmetry = No. 123

Record 13
Crystalline NbSeN2F at its relaxed geometry. Source: the Alexandria database, functional GGA-PBE.

Cell lengths 4.0446, 4.0446, 3.8503 Å; angles 90.00, 90.00, 90.00 degrees
Last column: nearest neighbours and their distance in Å.
Atoms (fractional coordinates):
N  0.0000  0.5000  0.0000  2 Se 2.02
Se  0.0000  0.0000  0.0000  2 F 1.93, 4 N 2.02
N  0.5000  0.0000  0.0000  2 Se 2.02
F  0.0000  0.0000  0.5000  2 Se 1.93
Nb  0.5000  0.5000  0.5000  8 N 2.79, 4 F 2.86

ΔE_f (raw) = 1.00 eV/atom
N(E_F) = 0.70 states/eV per atom
Uncorrected energy = -5.415 eV/atom
Total magnetic moment = 0.403 μB per atom
Polymorph energy (0 for the lowest one) = 1015.2 meV/atom
Symmetry = No. 123

Record 14
Crystalline NbSeNF2 at its relaxed geometry. Source: the Alexandria database, functional GGA-PBE.

Cell lengths 4.1100, 4.1100, 4.1948 Å; angles 90.00, 90.00, 90.00 degrees
Last column: nearest neighbours and their distance in Å.
Atoms (fractional coordinates):
Nb  0.0000  0.0000  0.0000  4 F 2.05, 2 N 2.10
Se  0.5000  0.5000  0.5000  4 N 2.91, 8 F 2.94
F  0.5000  0.0000  0.0000  2 Nb 2.05
F  0.0000  0.5000  0.0000  2 Nb 2.05
N  0.0000  0.0000  0.5000  2 Nb 2.10

ΔE_f (raw) = -0.85 eV/atom
N(E_F) = 0.75 states/eV per atom
Uncorrected energy = -5.975 eV/atom
Total magnetic moment = 0.000 μB per atom
Polymorph energy (0 for the lowest one) = 0.0 meV/atom
Symmetry = No. 123